! HgSbAu2 (PBE, relaxed); values from VASP
! VASP energy in eV for the cell shown: -10.9
! Uncorrected formation energy in eV/atom: 0.026
! D(E_F) in states/eV per cell: 1.8
! Space group: C2/m (12)
! Spin magnetization in μB/f.u.: 0.0
! Calculated density in Mg/m³: 12.5
! Excess energy over the best structure of this formula in the dataset in meV per atom: 3
! V in Å³/atom: 23.8
&SYSTEM
  ibrav = 0, nat = 4, ntyp = 3
/
ATOMIC_SPECIES
Sb 121.76 Sb.upf
Au 196.97 Au.upf
Hg 200.59 Hg.upf
ATOMIC_POSITIONS crystal
Sb 0.750 0.750 0.750
Au 0.002 0.002 0.991
Au 0.498 0.498 0.509
Hg 0.250 0.250 0.250
CELL_PARAMETERS angstrom
-2.789 1.584 2.532
-3.976 -0.715 -0.619
-1.888 -5.088 4.423